[1]
Below is RbSb3Au at its PBEsol-relaxed geometry, with properties calculated at the meta-GGA SCAN level.

```
RbSb3Au
1.0
5.4757 0.0000 0.0000
0.0000 5.4757 0.0000
0.0000 0.0000 5.4757
Rb Sb Au
1 3 1
Cartesian
0.0000 0.0000 0.0000
0.0000 2.7379 2.7379
2.7379 0.0000 2.7379
2.7379 2.7379 0.0000
2.7379 2.7379 2.7379
```

## Properties
Its crystal system is cubic. The space-group type is Pm-3m, No. 221.


[2]
Below is Mg3P2O8 at its PBEsol-relaxed geometry, with properties calculated at the meta-GGA SCAN level.

```
Mg3P2O8
1.0
5.5625 0.0000 0.0000
0.0000 9.1352 0.0000
-1.6659 0.0000 5.4665
Mg P O
6 4 16
Cartesian
0.0000 0.0000 0.0000
-0.8330 4.5676 2.7332
0.9680 1.2849 3.2803
1.8009 3.2827 0.5470
2.0957 5.8525 4.9194
2.9286 7.8503 2.1862
1.1460 5.8640 0.3707
0.3130 7.8388 3.1039
3.5836 1.2964 2.3625
2.7506 3.2712 5.0957
-0.7786 2.1903 2.7258
-1.6116 2.3773 5.4591
0.8341 4.8495 1.5059
0.0011 8.8533 4.2391
0.0028 4.9481 4.6583
0.8357 8.7547 1.9250
2.4079 6.6922 0.7085
1.5750 7.0106 3.4417
2.3216 2.1246 2.0247
1.4887 2.4430 4.7580
3.0609 0.3805 3.5414
3.8938 4.1871 0.8082
3.8955 0.2819 1.2273
3.0625 4.2857 3.9606
5.5082 6.7579 0.0074
4.6752 6.9449 2.7406
```

## Properties
Its crystal system is monoclinic. The space-group type is P2_1/c, No. 14.


[3]
Below is Rb3MoCl at its PBEsol-relaxed geometry, with properties calculated at the meta-GGA SCAN level.

```
Rb3MoCl
1.0
6.2607 0.0000 0.0000
0.0000 6.2607 0.0000
0.0000 0.0000 6.2607
Rb Mo Cl
3 1 1
Cartesian
0.0000 0.0000 3.1304
0.0000 3.1304 0.0000
3.1304 0.0000 0.0000
3.1304 3.1304 3.1304
0.0000 0.0000 0.0000
```

## Properties
Its crystal system is cubic. The space-group type is Pm-3m, No. 221.


[4]
Below is BeOsRu2 at its PBEsol-relaxed geometry, with properties calculated at the meta-GGA SCAN level.

```
BeOsRu2
1.0
2.7477 0.0000 0.0000
0.0000 2.7477 0.0000
0.0000 0.0000 6.3945
Be Os Ru
1 1 2
Cartesian
0.0000 0.0000 0.0000
0.0000 0.0000 3.1972
1.3739 1.3739 1.3936
1.3739 1.3739 5.0009
```

## Properties
The value obtained for the formation energy is -0.140 eV/atom. Its crystal system is tetragonal. The space-group type is P4/mmm, No. 123.


[5]
Below is Bi2Pb3S6 at its PBEsol-relaxed geometry, with properties calculated at the meta-GGA SCAN level.

```
Bi2Pb3S6
1.0
2.0265 -6.6683 0.0000
2.0265 6.6683 0.0000
0.0000 0.0000 20.5002
Bi Pb S
4 6 12
Cartesian
2.0265 5.5344 12.9919
2.0265 5.5344 17.7585
2.0265 -5.5344 2.7418
2.0265 -5.5344 7.5083
2.0265 4.3343 5.1251
2.0265 1.9005 11.1845
2.0265 1.9005 19.5658
2.0265 -1.9005 0.9344
2.0265 -1.9005 9.3157
2.0265 -4.3343 15.3752
0.0000 0.0000 0.0000
0.0000 0.0000 10.2501
2.0265 4.3133 15.3752
2.0265 2.9934 2.0809
2.0265 2.9934 8.1692
2.0265 0.6700 13.6464
2.0265 0.6700 17.1039
2.0265 -0.6700 3.3963
2.0265 -0.6700 6.8538
2.0265 -2.9934 12.3310
2.0265 -2.9934 18.4193
2.0265 -4.3133 5.1251
```

## Properties
Its crystal system is orthorhombic. The space-group type is Cmcm, No. 63.


[6]
Below is BeCo3C at its PBEsol-relaxed geometry, with properties calculated at the meta-GGA SCAN level.

```
BeCo3C
1.0
3.6138 0.0000 0.0000
0.0000 3.6138 0.0000
0.0000 0.0000 3.6138
Be Co C
1 3 1
Cartesian
0.0000 0.0000 0.0000
0.0000 1.8069 1.8069
1.8069 0.0000 1.8069
1.8069 1.8069 0.0000
1.8069 1.8069 1.8069
```

## Properties
The value obtained for the formation energy is 0.150 eV/atom. Its crystal system is cubic. The space-group type is Pm-3m, No. 221.


| no. | density (g cm⁻³) | E (eV per cell) |
| --- | --- | --- |
| 1 | 6.55 | -200.8 |
| 2 | 3.14 | -245.6 |
| 3 | 2.62 | -104.9 |
| 4 | 13.81 | -146.4 |
| 5 | 7.38 | -894.2 |
| 6 | 6.96 | -65.6 |